(1)
4
Lattice="3.589 0.000 0.000 -1.795 4.733 -0.020 0.000 -1.973 5.056" Properties=species:S:1:pos:R:3 comment="ScCd2Se meta-GGA SCAN PBEsol geometry" sg="Cm (8)" e_tot_ev_per_cell=-97.5 pbc="T T T"
Se 0.000 1.077 3.179
Cd 1.795 1.874 1.089
Cd 1.795 4.485 0.218
Sc 1.795 -0.929 3.057

***

(2)
4
Lattice="3.781 0.000 0.000 0.000 3.828 0.000 -1.891 0.000 5.062" Properties=species:S:1:pos:R:3 comment="Zr2AlSi meta-GGA SCAN PBEsol geometry" sg="Amm2 (38)" e_tot_ev_per_cell=-82.3 pbc="T T T"
Si 1.891 1.914 0.472
Zr 0.000 1.914 2.752
Al 1.891 0.000 2.062
Zr 1.891 0.000 4.857

***

(3)
5
Lattice="-2.522 3.011 -2.640 -3.779 -2.821 0.393 -1.323 2.318 3.908" Properties=species:S:1:pos:R:3 comment="SrRe3Rh meta-GGA SCAN PBEsol geometry" sg="Pm-3m (221)" ef_ev_per_atom=1.848 pbc="T T T"
Sr -3.812 1.254 0.831
Rh 0.000 0.000 0.000
Re -0.662 1.159 1.954
Re -1.889 -1.410 0.197
Re -1.261 1.505 -1.320

***

(4)
2
Lattice="4.088 0.000 0.000 2.044 3.540 0.000 2.044 1.180 3.338" Properties=species:S:1:pos:R:3 comment="CuTe meta-GGA SCAN PBEsol geometry" sg="F-43m (216)" e_tot_ev_per_cell=-52.5 pbc="T T T"
Te 2.044 1.180 0.834
Cu 0.000 0.000 0.000

***

(5)
5
Lattice="5.437 0.000 0.000 0.000 5.437 0.000 0.000 0.000 5.437" Properties=species:S:1:pos:R:3 comment="RbGe3Bi meta-GGA SCAN PBEsol geometry" sg="Pm-3m (221)" ef_ev_per_atom=1.772 pbc="T T T"
Bi 2.718 2.718 2.718
Ge 2.718 0.000 0.000
Rb 0.000 0.000 0.000
Ge 0.000 2.718 0.000
Ge 0.000 0.000 2.718

***

(6)
5
Lattice="-0.473 -1.272 3.584 3.738 -0.824 0.201 -0.568 6.375 0.139" Properties=species:S:1:pos:R:3 comment="Sc2InB2 meta-GGA SCAN PBEsol geometry" sg="I4/mmm (139)" ef_ev_per_atom=0.394 pbc="T T T"
Sc 0.758 3.790 1.445
Sc 1.940 0.489 2.479
In 0.000 0.000 0.000
B 0.296 2.028 2.808
B 2.401 2.252 1.116

***

(7)
5
Lattice="-0.428 3.326 2.018 -3.318 -1.373 1.559 4.675 -3.100 2.305" Properties=species:S:1:pos:R:3 comment="InTc2Ru2 meta-GGA SCAN PBEsol geometry" sg="I4/mmm (139)" ef_ev_per_atom=0.321 pbc="T T T"
Ru -0.258 -1.748 2.826
Tc -1.275 0.524 2.663
In 0.000 0.000 0.000
Ru 1.187 0.601 3.056
Tc 2.204 -1.670 3.219

***

(8)
4
Lattice="-0.415 0.256 3.969 -5.107 -3.291 -0.321 3.246 -5.102 0.668" Properties=species:S:1:pos:R:3 comment="Ba2LaHg meta-GGA SCAN PBEsol geometry" sg="P4/mmm (123)" ef_ev_per_atom=-0.078 pbc="T T T"
Ba -2.553 -1.645 -0.161
Ba 1.623 -2.551 0.334
La -0.207 0.128 1.984
Hg -1.138 -4.068 2.158